(1)
VASP calculation (PBE-GGA) on an optimized crystal structure of RbTlSb2I.

Calculated values
Offset from the most stable computed form in eV per atom: 0.000
Density in g cm⁻³: 4.7
Crystal system: tetragonal
Formation energy (no corrections) in eV/atom: 0.0696

The structure in POSCAR format:
```
RbTlSb2I
1.0
-0.5380 -2.7378 -5.0387
2.5416 -4.6505 2.2555
-6.2395 -2.4430 1.9937
Rb Sb I Tl
1 2 1 1
Cartesian
-2.1180 -4.9157 -0.3948 Rb
1.2708 -2.3252 1.1278 Sb
-0.2690 -1.3689 -2.5194 Sb
-3.1198 -1.2215 0.9968 I
0.0000 0.0000 0.0000 Tl
```

***

(2)
VASP calculation (PBE-GGA) on an optimized crystal structure of RbTlSb2I.

Calculated values
Offset from the most stable computed form in eV per atom: 0.589
Density in g cm⁻³: 3.8
Crystal system: tetragonal
Formation energy (no corrections) in eV/atom: 0.6590

The structure in POSCAR format:
```
RbTlSb2I
1.0
6.5318 0.0000 0.0000
0.0000 6.5318 0.0000
0.0000 0.0000 6.7136
Sb Rb I Tl
2 1 1 1
Cartesian
3.2659 0.0000 0.0000 Sb
0.0000 3.2659 0.0000 Sb
0.0000 0.0000 0.0000 Rb
0.0000 0.0000 3.3568 I
3.2659 3.2659 3.3568 Tl
```